Entry 1:
# ScTlRe, relaxed, DFT PBE
# M_tot (μB/f.u.): 0.00
# Formation energy (eV/atom): 0.351
# Mass density (Mg/m³): 12.574
data_ScTlRe
_chemical_formula_sum 'Sc2 Tl2 Re2'
_space_group_name_H-M_alt 'I m m 2'
_space_group_IT_number 44
_space_group_name_Hall 'I 2 -2'
_cell_length_a 2.9685
_cell_length_b 4.2392
_cell_length_c 9.1418
_cell_angle_alpha 90.00
_cell_angle_beta 90.00
_cell_angle_gamma 90.00
loop_
_atom_site_label
_atom_site_type_symbol
_atom_site_fract_x
_atom_site_fract_y
_atom_site_fract_z
Sc1 Sc 0.0000 0.0000 0.0000
Tl1 Tl 0.0000 0.0000 0.6796
Re1 Re 0.0000 0.0000 0.3470

Entry 2:
# ScTlRe2, relaxed, DFT PBE
# M_tot (μB/f.u.): 0.00
# Formation energy (eV/atom): 0.488
# Mass density (Mg/m³): 14.540
data_ScTlRe2
_chemical_formula_sum 'Sc2 Tl2 Re4'
_space_group_name_H-M_alt 'I m m m'
_space_group_IT_number 71
_space_group_name_Hall '-I 2 2'
_cell_length_a 3.2616
_cell_length_b 4.5655
_cell_length_c 9.5368
_cell_angle_alpha 90.00
_cell_angle_beta 90.00
_cell_angle_gamma 90.00
loop_
_atom_site_label
_atom_site_type_symbol
_atom_site_fract_x
_atom_site_fract_y
_atom_site_fract_z
Sc1 Sc 0.0000 0.0000 0.0000
Tl1 Tl 0.0000 0.0000 0.5000
Re1 Re 0.0000 0.5000 0.2587

Entry 3:
# ScTl2Re, relaxed, DFT PBE
# M_tot (μB/f.u.): 0.00
# Formation energy (eV/atom): 0.579
# Mass density (Mg/m³): 12.639
data_ScTl2Re
_chemical_formula_sum 'Sc3 Tl6 Re3'
_space_group_name_H-M_alt 'R -3 m'
_space_group_IT_number 166
_space_group_name_Hall '-R 3 2"'
_cell_length_a 3.1833
_cell_length_b 3.1833
_cell_length_c 28.7408
_cell_angle_alpha 90.00
_cell_angle_beta 90.00
_cell_angle_gamma 120.00
loop_
_atom_site_label
_atom_site_type_symbol
_atom_site_fract_x
_atom_site_fract_y
_atom_site_fract_z
Sc1 Sc 0.0000 0.0000 0.0000
Tl1 Tl 0.0000 0.0000 0.2450
Re1 Re 0.0000 0.0000 0.5000

Entry 4:
# ScTlRe2, relaxed, DFT PBE
# M_tot (μB/f.u.): 0.00
# Formation energy (eV/atom): 0.339
# Mass density (Mg/m³): 13.940
data_ScTlRe2
_chemical_formula_sum 'Sc2 Tl2 Re4'
_space_group_name_H-M_alt 'I m m 2'
_space_group_IT_number 44
_space_group_name_Hall 'I 2 -2'
_cell_length_a 3.9656
_cell_length_b 4.5723
_cell_length_c 8.1695
_cell_angle_alpha 90.00
_cell_angle_beta 90.00
_cell_angle_gamma 90.00
loop_
_atom_site_label
_atom_site_type_symbol
_atom_site_fract_x
_atom_site_fract_y
_atom_site_fract_z
Sc1 Sc 0.0000 0.0000 0.0000
Tl1 Tl 0.0000 0.5000 0.7707
Re1 Re 0.0000 0.0000 0.5344
Re2 Re 0.0000 0.5000 0.2199

Among the records above, which one has the lowest mass density? ScTlRe